Compound: HgTe2O6
Source: Alexandria via LeMat-Bulk
Functional: PBEsol
Structure: optimized geometry

The structure belongs to space group P2_1/c (No. 14); the cell edges are 6.288, 12.146 and 7.880 Å and the angles 90.00°, 116.65° and 90.00°. The distinct sites, in fractional coordinates, are Hg at (0.239, 0.083, 0.319), Te at (0.165, 0.113, 0.806), Te at (0.345, 0.726, 0.788), O at (0.009, 0.243, 0.685), O at (0.110, 0.532, 0.216), O at (0.134, 0.595, 0.659), O at (0.367, 0.131, 0.062), O at (0.396, 0.126, 0.706) and O at (0.437, 0.671, 0.039).

The calculation puts the total magnetization at 0.00 μB/f.u. For the energy relative to the elements, uncorrected, the calculation gives -0.763 eV per atom. For the total energy, the calculation gives -5.11 eV/atom.